A plane-wave DFT calculation with PBE was carried out for a relaxed structure of LiTl2GeO6.

Cell lengths 5.4459, 5.4459, 5.7630 Å; angles 61.80, 61.80, 60.00 degrees
Positions (direct):
Li: 0.8005 0.8005 0.5986
Tl: 0.5357 0.5357 0.3928
Tl: 0.0261 0.0261 0.9216
Ge: 0.3218 0.3218 0.0345
O: 0.5676 0.2066 0.2446
O: 0.2066 0.9811 0.2446
O: 0.9811 0.5676 0.2446
O: 0.4387 0.6691 0.7779
O: 0.6691 0.1144 0.7779
O: 0.1144 0.4386 0.7779

Results
As for the density: 7.8 g/cm³. The total energy is -5.1260 eV/atom.

***

A plane-wave DFT calculation with PBE was carried out for a relaxed structure of Li2TlGeO4.

Cell lengths 5.1382, 5.1382, 5.2646 Å; angles 119.20, 119.20, 90.01 degrees
Positions (direct):
Li: 0.7501 0.2500 0.5001
Li: 0.2500 0.7501 0.5001
Tl: 0.0001 0.0001 0.0002
Ge: 0.5000 0.5000 0.0001
O: 0.5586 0.5586 0.7209
O: 0.4414 0.8377 0.2791
O: 0.8377 0.4414 0.2791
O: 0.1623 0.1623 0.7210

Results
As for the density: 5.9 g/cm³. The total energy is -5.4110 eV/atom.

***

A plane-wave DFT calculation with PBE was carried out for a relaxed structure of LiTm2GeO5.

Cell lengths 5.7074, 6.3939, 6.3939 Å; angles 90.00, 90.00, 90.00 degrees
Positions (direct):
Li: 0.0000 0.5000 0.5000
Li: 0.0000 0.0000 0.0000
Tm: 0.5000 0.6767 0.1767
Tm: 0.5000 0.1767 0.3233
Tm: 0.5000 0.8233 0.6767
Tm: 0.5000 0.3233 0.8233
Ge: 0.0000 0.0000 0.5000
Ge: 0.0000 0.5000 0.0000
O: 0.5000 0.5000 0.5000
O: 0.5000 0.0000 0.0000
O: 0.2506 0.1403 0.6403
O: 0.2506 0.8597 0.3597
O: 0.2506 0.3597 0.1403
O: 0.2506 0.6403 0.8597
O: 0.7494 0.1403 0.6403
O: 0.7494 0.6403 0.8597
O: 0.7494 0.8597 0.3597
O: 0.7494 0.3597 0.1403

Results
As for the density: 7.1 g/cm³. The total energy is -6.8483 eV/atom.